[1]
Below is crystalline LaMnAl2 at its relaxed geometry, with properties calculated at the GGA-PBE level.

The value obtained for the total energy is -5.21 eV per atom. The formation energy from the elements is 0.185 eV/atom.

Unit cell a=9.384 b=9.384 c=9.384 alpha=150.09 beta=150.09 gamma=42.82
Fractional positions:
La (0.000, 0.000, 0.000)
La (0.750, 0.250, 0.500)
Mn (0.250, 0.750, 0.500)
Mn (0.500, 0.500, 0.000)
Al (0.310, 0.625, 0.185)
Al (0.375, 0.560, 0.685)
Al (0.440, 0.125, 0.815)
Al (0.875, 0.690, 0.315)

---

[2]
Below is crystalline LaMnAl2 at its relaxed geometry, with properties calculated at the GGA-PBE level.

The value obtained for the total energy is -5.42 eV per atom. The formation energy from the elements is -0.025 eV/atom.

Unit cell a=3.274 b=3.274 c=7.453 alpha=90.00 beta=90.00 gamma=90.00
Fractional positions:
La (0.000, 0.000, 0.000)
Mn (0.500, 0.500, 0.297)
Al (0.000, 0.000, 0.461)
Al (0.500, 0.500, 0.675)